(1)
DFT (PBE-GGA) results for Er12Tm2Sc5 after structural relaxation.

Unit cell a=8.6148 b=8.9922 c=8.2684 alpha=91.21 beta=90.00 gamma=118.62
With the nearest neighbours (Å) after each atom.
Positions (direct):
1 Sc 0.3530 0.7060 0.0577  8 Er 3.14-3.50, 2 Tm 3.43
2 Sc 0.7556 0.5112 0.4508  3 Er 2.96-3.24
3 Sc 0.2444 0.4888 0.5492  3 Er 2.96-3.24
4 Sc 0.6470 0.2940 0.9423  8 Er 3.14-3.50, 2 Tm 3.43
5 Sc 0.0000 0.0000 0.5000  4 Er 3.19
6 Er 0.4028 0.2181 0.6138  4 Sc 3.19-3.36, 6 Er 3.29-3.57
7 Er 0.6093 0.6264 0.7765  4 Sc 3.32-3.50, 6 Er 3.33-3.57, 1 Tm 3.44
8 Er 0.1847 0.7819 0.3862  4 Sc 3.19-3.36, 6 Er 3.29-3.57
9 Er 0.5549 0.1099 0.2747  2 Sc 3.14-3.45, 6 Er 3.29-3.41, 2 Tm 3.45
10 Er 0.9830 0.3736 0.2235  4 Sc 3.32-3.50, 6 Er 3.33-3.57, 1 Tm 3.44
11 Er 0.8153 0.2181 0.6138  4 Sc 3.19-3.36, 6 Er 3.29-3.57
12 Er 0.5972 0.7819 0.3862  4 Sc 3.19-3.36, 6 Er 3.29-3.57
13 Er 0.8352 0.6703 0.1300  1 Sc 2.96
14 Er 0.1648 0.3297 0.8700  1 Sc 2.96
15 Er 0.4451 0.8901 0.7253  2 Sc 3.14-3.45, 6 Er 3.29-3.41, 2 Tm 3.45
16 Er 0.0170 0.6264 0.7765  4 Sc 3.32-3.50, 6 Er 3.33-3.57, 1 Tm 3.44
17 Er 0.3907 0.3736 0.2235  4 Sc 3.32-3.50, 6 Er 3.33-3.57, 1 Tm 3.44
18 Tm 0.7864 0.0000 0.0000  8 Er 3.38-3.73, 2 Sc 3.43, 1 Tm 3.68
19 Tm 0.2136 0.0000 0.0000  8 Er 3.38-3.73, 2 Sc 3.43, 1 Tm 3.68

The crystal system is monoclinic. The value obtained for the density of states at the Fermi level is 30.674 states/eV/f.u. The value obtained for the raw total energy is -92.49 eV/cell. The formation energy comes out at 150.9 meV per atom. The total magnetization comes out at 0.000 μB per atom.

***

(2)
DFT (PBE-GGA) results for Hf2CdSn2 after structural relaxation.

Unit cell a=7.8254 b=7.8254 c=3.8649 alpha=90.00 beta=90.00 gamma=90.00
With the nearest neighbours (Å) after each atom.
Positions (direct):
1 Hf 0.1368 0.3632 0.0000  6 Sn 2.92-3.06, 1 Hf 3.03, 2 Cd 3.04
2 Hf 0.6368 0.1368 0.0000  6 Sn 2.92-3.06, 1 Hf 3.03, 2 Cd 3.04
3 Hf 0.3632 0.8632 0.0000  6 Sn 2.92-3.06, 1 Hf 3.03, 2 Cd 3.04
4 Hf 0.8632 0.6368 0.0000  6 Sn 2.92-3.06, 1 Hf 3.03, 2 Cd 3.04
5 Sn 0.8351 0.3351 0.5000  6 Hf 2.92-3.06
6 Sn 0.3351 0.1649 0.5000  6 Hf 2.92-3.06
7 Sn 0.1649 0.6649 0.5000  6 Hf 2.92-3.06
8 Sn 0.6649 0.8351 0.5000  6 Hf 2.92-3.06
9 Cd 0.5000 0.5000 0.0000  4 Hf 3.04
10 Cd 0.0000 0.0000 0.0000  4 Hf 3.04

The crystal system is tetragonal. The value obtained for the density of states at the Fermi level is 2.932 states/eV/f.u. The value obtained for the raw total energy is -58.33 eV/cell. As for the energy above the lowest structure with this stoichiometry: 0.0 meV per atom. The formation energy comes out at -67.0 meV per atom. The total magnetization comes out at 0.005 μB per atom.

***

(3)
DFT (PBE-GGA) results for BeTl2Hg2 after structural relaxation.

Unit cell a=4.2983 b=4.2983 c=8.5882 alpha=75.51 beta=75.51 gamma=90.00
With the nearest neighbours (Å) after each atom.
Positions (direct):
1 Hg 0.5882 0.5882 0.8235  1 Hg 2.83
2 Hg 0.4118 0.4118 0.1765  1 Hg 2.83
3 Tl 0.2500 0.7500 0.5000  4 Tl 3.04, 4 Hg 3.37
4 Tl 0.7500 0.2500 0.5000  4 Tl 3.04, 4 Hg 3.37
5 Be 0.0000 0.0000 0.0000  8 Hg 3.35

The crystal system is tetragonal. The value obtained for the density of states at the Fermi level is 2.701 states/eV/f.u. The value obtained for the raw total energy is -5.79 eV/cell. As for the energy above the lowest structure with this stoichiometry: 391.9 meV per atom. The formation energy comes out at 653.7 meV per atom. The total magnetization comes out at 0.000 μB per atom.

***

(4)
DFT (PBE-GGA) results for Th2ZnGa3Ir4 after structural relaxation.

Unit cell a=4.2259 b=4.2259 c=10.5447 alpha=90.00 beta=90.00 gamma=90.00
With the nearest neighbours (Å) after each atom.
Positions (direct):
1 Ir 0.0000 0.0000 0.0000  4 Ga 2.49
2 Ir 0.0000 0.5000 0.3594  3 Ga 2.46-2.58, 2 Zn 2.58
3 Ir 0.5000 0.5000 0.0000  4 Ga 2.49
4 Ir 0.5000 0.0000 0.6406  3 Ga 2.46-2.58, 2 Zn 2.58
5 Ga 0.5000 0.0000 0.8743  5 Ir 2.46-2.49
6 Ga 0.0000 0.5000 0.1257  5 Ir 2.46-2.49
7 Ga 0.0000 0.0000 0.5000  4 Ir 2.58
8 Th 0.0000 0.5000 0.7582  6 Ga 3.23-3.45, 8 Ir 3.24-3.31, 2 Zn 3.45
9 Th 0.5000 0.0000 0.2418  6 Ga 3.23-3.45, 8 Ir 3.24-3.31, 2 Zn 3.45
10 Zn 0.5000 0.5000 0.5000  4 Ir 2.58

The crystal system is tetragonal. The value obtained for the density of states at the Fermi level is 5.576 states/eV/f.u. The value obtained for the raw total energy is -67.65 eV/cell. The formation energy comes out at -701.5 meV per atom. The total magnetization comes out at 0.000 μB per atom.

***

(5)
DFT (PBE-GGA) results for Ac2Sm7Ho2 after structural relaxation.

Unit cell a=6.7589 b=9.5022 c=6.7589 alpha=77.14 beta=92.89 gamma=102.86
With the nearest neighbours (Å) after each atom.
Positions (direct):
1 Sm 0.0485 0.7221 0.3359  2 Sm 3.14-3.41, 2 Ho 3.18-3.49
2 Sm 0.3359 0.2779 0.0485  2 Sm 3.14-3.41, 2 Ho 3.18-3.49
3 Sm 0.0000 0.0000 0.0000  4 Sm 3.14, 2 Ac 3.52
4 Sm 0.8390 0.3680 0.1610  5 Sm 3.37-3.77, 2 Ho 3.57
5 Sm 0.9515 0.2779 0.6641  2 Sm 3.14-3.41, 2 Ho 3.18-3.49
6 Sm 0.1610 0.6320 0.8390  5 Sm 3.37-3.77, 2 Ho 3.57
7 Sm 0.6641 0.7221 0.9515  2 Sm 3.14-3.41, 2 Ho 3.18-3.49
8 Ho 0.3380 0.5000 0.3380  1 Ho 3.02, 2 Sm 3.18
9 Ho 0.6620 0.5000 0.6620  1 Ho 3.02, 2 Sm 3.18
10 Ac 0.6234 0.8986 0.3766  5 Sm 3.52-3.90, 1 Ac 3.52, 2 Ho 3.91
11 Ac 0.3766 0.1014 0.6234  5 Sm 3.52-3.90, 1 Ac 3.52, 2 Ho 3.91

The crystal system is monoclinic. The value obtained for the density of states at the Fermi level is 16.445 states/eV/f.u. The value obtained for the raw total energy is -46.82 eV/cell. As for the energy above the lowest structure with this stoichiometry: 0.0 meV per atom. The formation energy comes out at 325.9 meV per atom. The total magnetization comes out at 0.000 μB per atom.

***

(6)
DFT (PBE-GGA) results for LiNdInSn after structural relaxation.

Unit cell a=4.5685 b=4.5940 c=4.7627 alpha=90.00 beta=90.00 gamma=90.00
With the nearest neighbours (Å) after each atom.
Positions (direct):
1 Sn 0.0000 0.0000 0.0000  4 Nd 3.24, 4 Li 3.30, 4 In 3.31
2 In 0.0000 0.5000 0.5000  4 Li 3.24, 4 Nd 3.30, 4 Sn 3.31
3 Nd 0.5000 0.5000 0.0000  4 Sn 3.24, 4 In 3.30, 4 Li 3.31
4 Li 0.5000 0.0000 0.5000  4 In 3.24, 4 Sn 3.30, 4 Nd 3.31

The crystal system is orthorhombic. The value obtained for the density of states at the Fermi level is 1.746 states/eV/f.u. The value obtained for the raw total energy is -15.48 eV/cell. As for the energy above the lowest structure with this stoichiometry: 0.0 meV per atom. The formation energy comes out at -515.2 meV per atom. The total magnetization comes out at 0.000 μB per atom.

***

(7)
DFT (PBE-GGA) results for KCaY2 after structural relaxation.

Unit cell a=6.5151 b=6.5151 c=7.1416 alpha=82.18 beta=82.18 gamma=32.37
With the nearest neighbours (Å) after each atom.
Positions (direct):
1 K 0.2521 0.2521 0.2533  2 K 3.63, 3 Ca 3.78-3.95, 5 Y 3.88-4.05
2 Y 0.0130 0.0130 0.9611  5 Y 3.50-3.84, 2 Ca 3.69, 1 K 3.88
3 Y 0.7417 0.7417 0.7685  5 Y 3.50-3.84, 3 Ca 3.80-3.85
4 Ca 0.4933 0.4933 0.5171  2 Ca 3.63, 5 Y 3.69-3.85, 3 K 3.78-3.95

The crystal system is monoclinic. The value obtained for the density of states at the Fermi level is 6.237 states/eV/f.u. The value obtained for the raw total energy is -14.53 eV/cell. As for the energy above the lowest structure with this stoichiometry: 191.0 meV per atom. The formation energy comes out at 373.2 meV per atom. The total magnetization comes out at 0.297 μB per atom.

***

> Which of these has the lowest density of states at the Fermi level?

LiNdInSn

***

> The lowest raw total energy belongs to which entry?

Er12Tm2Sc5

***

> Number 3 is which compound?

BeTl2Hg2

***

> The lowest density of states at the Fermi level belongs to which entry?

LiNdInSn